This record from Alexandria describes a geometry-optimized SrMgFeP2O8 structure. The functional is PBE+U.

The structure in CIF format:
```
data_SrMgFeP2O8
_symmetry_space_group_name_H-M 'P -1'
_symmetry_Int_Tables_number 2
_symmetry_space_group_name_Hall '-P 1'
_cell_length_a 5.5058
_cell_length_b 7.9738
_cell_length_c 8.5398
_cell_angle_alpha 108.13
_cell_angle_beta 95.32
_cell_angle_gamma 93.37
loop_
_atom_site_label
_atom_site_type_symbol
_atom_site_fract_x
_atom_site_fract_y
_atom_site_fract_z
_atom_site_occupancy
Sr1 Sr 0.0564 0.2383 0.4443 1
Mg1 Mg 0.2405 0.0586 0.0499 1
Fe1 Fe 0.1780 0.6287 0.9186 1
P1 P 0.3581 0.5705 0.2685 1
P2 P 0.4634 0.0791 0.7378 1
O1 O 0.0626 0.8396 0.8815 1
O2 O 0.2034 0.5021 0.0968 1
O3 O 0.2134 0.0557 0.6394 1
O4 O 0.2210 0.5267 0.3994 1
O5 O 0.3611 0.7876 0.3224 1
O6 O 0.3745 0.4712 0.7355 1
O7 O 0.3995 0.0884 0.2880 1
O8 O 0.4689 0.1630 0.9294 1
```

Values from the calculation:
Electronic total energy = -6.982 eV/atom
E above lowest polymorph = 83 meV/atom